1.
# GaSi2Sb

Crystalline GaSi2Sb at its relaxed geometry (PBE, Alexandria via LeMat-Bulk).

As for the density of states at the Fermi level: 0.00 states/eV/f.u. As for the offset from the most stable computed form: 0 meV per atom. As for the magnetic moment: 0.00 μB/f.u.

The space group is I-42d (No. 122) and the conventional cell measures 5.851, 5.851 and 11.728 Å, with angles of 90.00, 90.00 and 90.00 degrees. The asymmetric unit holds Ga at (0.000, 0.000, 0.000), Si at (0.222, 0.250, 0.125) and Sb at (0.000, 0.000, 0.500).



2.
# Ga2SiSb

Crystalline Ga2SiSb at its relaxed geometry (PBE, Alexandria via LeMat-Bulk).

As for the density of states at the Fermi level: 3.01 states/eV/f.u. As for the offset from the most stable computed form: 0 meV per atom. As for the magnetic moment: 0.00 μB/f.u.

The space group is I-42d (No. 122) and the conventional cell measures 5.925, 5.925 and 11.792 Å, with angles of 90.00, 90.00 and 90.00 degrees. The asymmetric unit holds Ga at (0.212, 0.250, 0.125), Si at (0.000, 0.000, 0.000) and Sb at (0.000, 0.000, 0.500).



3.
# GaSi2Sb

Crystalline GaSi2Sb at its relaxed geometry (PBE, Alexandria via LeMat-Bulk).

As for the density of states at the Fermi level: 3.38 states/eV/f.u. As for the offset from the most stable computed form: 379 meV per atom. As for the magnetic moment: 0.00 μB/f.u.

The space group is Fm-3m (No. 225) and the conventional cell measures 6.773, 6.773 and 6.773 Å, with angles of 90.00, 90.00 and 90.00 degrees. The asymmetric unit holds Ga at (0.000, 0.000, 0.000), Si at (0.250, 0.250, 0.250) and Sb at (0.000, 0.000, 0.500).



4.
# GaSiSbTe2

Crystalline GaSiSbTe2 at its relaxed geometry (PBE, Alexandria via LeMat-Bulk).

As for the density of states at the Fermi level: 3.80 states/eV/f.u. As for the offset from the most stable computed form: 0 meV per atom. As for the magnetic moment: 0.00 μB/f.u.

The space group is P4/mmm (No. 123) and the conventional cell measures 5.351, 5.351 and 5.251 Å, with angles of 90.00, 90.00 and 90.00 degrees. The asymmetric unit holds Ga at (0.000, 0.000, 0.000), Si at (0.500, 0.500, 0.500), Sb at (0.500, 0.500, 0.000) and Te at (0.000, 0.500, 0.500).



Calculated energy, -4.375; -3.840; -3.995; -3.346 eV/atom (same order as the records).